Crystalline TbPuNbN3 at its relaxed geometry, computed with PBE.

Total moment   0.103 μB/atom
Symmetry   No. 11
ΔE_f (raw)   -1.10 eV per atom

Unit cell a=3.221 b=5.803 c=9.486 alpha=111.85 beta=90.00 gamma=90.00
Last column: magnetic moment on the atom in μB.
Fractional coordinates of all 12 atoms:
Tb: 0.750 0.715 0.694  0.00
Tb: 0.250 0.285 0.306  0.00
Pu: 0.250 0.659 0.065  0.64
Pu: 0.750 0.341 0.935  0.64
Nb: 0.250 0.173 0.624  -0.01
Nb: 0.750 0.827 0.376  -0.01
N: 0.250 0.746 0.498  0.00
N: 0.750 0.941 0.176  -0.01
N: 0.750 0.486 0.207  0.01
N: 0.750 0.254 0.502  0.00
N: 0.250 0.514 0.793  0.01
N: 0.250 0.059 0.824  -0.01